No. 1
Compound: Co2TcPb
Source: Alexandria
Functional: PBE
Structure: relaxed

Cell: 4.223 4.223 3.390 Å, 90.00 90.00 90.00°
Site moments in Bohr magnetons follow the coordinates.
Atoms (fractional coordinates):
Co: 0.000 0.000 0.000  1.50
Co: 0.500 0.500 0.000  1.50
Pb: 0.500 0.000 0.500  -0.03
Tc: 0.000 0.500 0.500  1.68

Output
The calculation puts the energy relative to the elements at 0.5284 eV/atom. As for the crystal system: tetragonal. The value obtained for the calculated volume is 60.45 Å³/cell.



No. 2
Compound: KSrZnGa2
Source: Alexandria
Functional: PBE
Structure: relaxed

Cell: 5.693 6.616 5.693 Å, 90.00 90.00 90.00°
Atoms (fractional coordinates):
Sr: 0.000 0.500 0.000
Zn: 0.500 0.500 0.500
K: 0.000 0.000 0.000
Ga: 0.000 0.000 0.500
Ga: 0.500 0.000 0.000

Output
The calculation puts the energy relative to the elements at 0.9229 eV/atom. As for the crystal system: tetragonal. The value obtained for the calculated volume is 214.46 Å³/cell.



No. 3
Compound: PmPr4Ir
Source: Alexandria
Functional: PBE
Structure: relaxed

Cell: 6.078 7.784 9.689 Å, 113.69 108.34 90.00°
Atoms (fractional coordinates):
Pm: 0.802 0.802 0.604
Pm: 0.198 0.198 0.396
Pr: 0.168 0.669 0.337
Pr: 0.383 0.133 0.767
Pr: 0.000 0.202 0.000
Pr: 0.617 0.367 0.233
Pr: 0.832 0.331 0.663
Pr: 0.617 0.867 0.233
Pr: 0.000 0.798 0.000
Pr: 0.383 0.633 0.767
Ir: 0.271 0.500 0.000
Ir: 0.729 0.500 0.000

Output
The calculation puts the energy relative to the elements at -0.1750 eV/atom. As for the crystal system: monoclinic. The value obtained for the calculated volume is 394.23 Å³/cell.



No. 4
Compound: CeHfAs2O
Source: Alexandria
Functional: PBE
Structure: relaxed

Cell: 3.856 3.856 13.366 Å, 90.00 90.00 90.00°
Atoms (fractional coordinates):
Ce: 0.500 0.000 0.597
Ce: 0.000 0.500 0.403
Hf: 0.500 0.000 0.097
Hf: 0.000 0.500 0.903
As: 0.000 0.500 0.705
As: 0.000 0.500 0.112
As: 0.500 0.000 0.888
As: 0.500 0.000 0.295
O: 0.000 0.000 0.500
O: 0.500 0.500 0.500

Output
The calculation puts the raw formation energy at -1709 meV/atom. As for the crystal system: tetragonal. The value obtained for the calculated volume is 198.75 Å³/cell.



No. 5
Compound: LiErI
Source: Alexandria
Functional: PBE
Structure: relaxed

Cell: 3.950 3.950 12.065 Å, 90.00 90.00 90.00°
Atoms (fractional coordinates):
I: 0.000 0.500 0.665
I: 0.500 0.000 0.335
Li: 0.500 0.000 0.741
Li: 0.000 0.500 0.259
Er: 0.000 0.500 0.920
Er: 0.500 0.000 0.080

Output
The calculation puts the raw formation energy at -614 meV/atom. As for the crystal system: tetragonal. The value obtained for the calculated volume is 188.26 Å³/cell.



No. 6
Compound: NaMgSbPb
Source: Alexandria
Functional: PBE
Structure: relaxed

Cell: 5.301 5.301 5.301 Å, 60.00 60.00 60.00°
Atoms (fractional coordinates):
Pb: 0.500 0.500 0.500
Sb: 0.000 0.000 0.000
Mg: 0.250 0.250 0.250
Na: 0.750 0.750 0.750

Output
Its offset from the most stable computed form is 42 meV/atom. The calculation puts the raw formation energy at -155 meV/atom. As for the crystal system: cubic. The value obtained for the calculated volume is 105.31 Å³/cell.



Record-wise energy values, in eV per atom: -6.54, -1.10, -5.63, -7.74, -3.29, -2.84